Entry one
GGA-PBE FeSb5, relaxed; symmetry = No. 65; size of the total moment = 0.17 μB/f.u.
1.0
2.031 -8.345 0.000
2.031 8.345 0.000
0.000 0.000 5.056
Fe Sb
1 5
Direct
0.000 0.000 0.000
0.000 0.000 0.500
0.312 0.688 0.500
0.404 0.596 0.000
0.596 0.404 0.000
0.688 0.312 0.500

=====

Entry two
GGA-PBE FeSb5, relaxed; symmetry = No. 189; size of the total moment = 2.29 μB/f.u.
1.0
7.067 0.000 0.000
-3.534 6.121 0.000
0.000 0.000 3.672
Fe Sb
1 5
Direct
0.000 0.000 0.000
0.000 0.719 0.500
0.281 0.281 0.500
0.333 0.667 0.000
0.667 0.333 0.000
0.719 0.000 0.500

=====

Result of the stability comparison: entry two is the least stable of them.

=====

Entry one
GGA-PBE FeSb5, relaxed; symmetry = No. 191; size of the total moment = 3.49 μB/f.u.
1.0
6.062 0.000 0.000
-3.031 5.250 0.000
0.000 0.000 5.571
Fe Sb
1 5
Direct
0.000 0.000 0.000
0.000 0.500 0.500
0.333 0.667 0.000
0.500 0.000 0.500
0.500 0.500 0.500
0.667 0.333 0.000

=====

Entry two
GGA-PBE FeSb5, relaxed; symmetry = No. 65; size of the total moment = 2.15 μB/f.u.
1.0
1.699 -9.795 0.000
1.699 9.795 0.000
0.000 0.000 4.760
Fe Sb
1 5
Direct
0.000 0.000 0.000
0.187 0.813 0.500
0.391 0.609 0.000
0.500 0.500 0.500
0.609 0.391 0.000
0.813 0.187 0.500

=====

Entry three
GGA-PBE FeSb5, relaxed; symmetry = No. 8; size of the total moment = 0.81 μB/f.u.
1.0
6.825 -1.671 0.000
6.825 1.671 0.000
-2.641 0.000 7.353
Fe Sb
1 5
Direct
0.000 0.000 0.000
0.000 0.000 0.643
0.356 0.356 0.788
0.403 0.403 0.186
0.626 0.626 0.323
0.646 0.646 0.966

=====

Result of the stability comparison: entry one is the least stable of them.

=====

Entry one
GGA-PBE Fe5Sb3, relaxed; symmetry = No. 1; size of the total moment = 11.37 μB/f.u.
1.0
6.404 0.000 0.000
3.125 5.898 0.000
0.717 0.186 7.079
Fe Sb
10 6
Direct
0.000 0.000 0.000
0.017 0.867 0.680
0.087 0.340 0.027
0.237 0.445 0.682
0.268 0.598 0.981
0.366 0.905 0.137
0.643 0.473 0.135
0.673 0.919 0.518
0.807 0.667 0.822
0.899 0.509 0.507
0.340 0.022 0.785
0.366 0.280 0.305
0.428 0.681 0.460
0.694 0.318 0.793
0.830 0.751 0.173
0.936 0.131 0.349

=====

Entry two
GGA-PBE Fe5Sb3, relaxed; symmetry = No. 65; size of the total moment = 9.83 μB/f.u.
1.0
3.298 -4.157 0.000
3.298 4.157 0.000
0.000 0.000 4.420
Fe Sb
5 3
Direct
0.000 0.000 0.000
0.000 0.500 0.000
0.307 0.307 0.500
0.500 0.000 0.000
0.693 0.693 0.500
0.204 0.796 0.500
0.500 0.500 0.000
0.796 0.204 0.500

=====

Result of the stability comparison: entry two is the least stable of them.

=====

Entry one
GGA-PBE ScFe2Sb2, relaxed; symmetry = No. 139; size of the total moment = 1.18 μB/f.u.
1.0
-2.305 2.305 4.328
2.305 -2.305 4.328
2.305 2.305 -4.328
Sc Fe Sb
1 2 2
Direct
0.000 0.000 0.000
0.377 0.377 0.000
0.623 0.623 0.000
0.250 0.750 0.500
0.750 0.250 0.500

=====

Entry two
GGA-PBE ScFe2Sb2, relaxed; symmetry = No. 139; size of the total moment = 0.00 μB/f.u.
1.0
-2.079 2.079 5.397
2.079 -2.079 5.397
2.079 2.079 -5.397
Sc Fe Sb
1 2 2
Direct
0.000 0.000 0.000
0.250 0.750 0.500
0.750 0.250 0.500
0.369 0.369 0.000
0.631 0.631 0.000

=====

Result of the stability comparison: entry one is the least stable of them.

=====

Entry one
GGA-PBE ScFeSb2, relaxed; symmetry = No. 216; size of the total moment = 1.81 μB/f.u.
1.0
0.000 3.494 3.494
3.494 0.000 3.494
3.494 3.494 0.000
Sc Fe Sb
1 1 2
Direct
0.000 0.000 0.000
0.750 0.750 0.750
0.250 0.250 0.250
0.500 0.500 0.500

=====

Entry two
GGA-PBE ScFeSb2, relaxed; symmetry = No. 99; size of the total moment = 0.00 μB/f.u.
1.0
3.142 0.000 0.000
0.000 3.142 0.000
0.000 0.000 8.636
Sc Fe Sb
1 1 2
Direct
0.000 0.000 0.000
0.500 0.500 0.193
0.000 0.000 0.362
0.500 0.500 0.736

=====

Result of the stability comparison: entry one is the least stable of them.

=====

Entry one
GGA-PBE ScFeSb2, relaxed; symmetry = No. 160; size of the total moment = 1.18 μB/f.u.
1.0
1.682 0.971 8.948
-1.682 0.971 8.948
0.000 -1.942 8.948
Sc Fe Sb
1 1 2
Direct
0.000 0.000 0.000
0.261 0.261 0.261
0.531 0.531 0.531
0.756 0.756 0.756

=====

Entry two
GGA-PBE ScFeSb2, relaxed; symmetry = No. 119; size of the total moment = 2.55 μB/f.u.
1.0
-2.045 2.045 4.919
2.045 -2.045 4.919
2.045 2.045 -4.919
Sc Fe Sb
1 1 2
Direct
0.000 0.000 0.000
0.250 0.750 0.500
0.500 0.500 0.000
0.750 0.250 0.500

=====

Result of the stability comparison: entry one is the least stable of them.

=====

Entry one
GGA-PBE ScFeSb3, relaxed; symmetry = No. 221; size of the total moment = 2.46 μB/f.u.
1.0
5.025 0.000 0.000
0.000 5.025 0.000
0.000 0.000 5.025
Sc Fe Sb
1 1 3
Direct
0.000 0.000 0.000
0.500 0.500 0.500
0.000 0.500 0.500
0.500 0.000 0.500
0.500 0.500 0.000

=====

Entry two
GGA-PBE ScFeSb3, relaxed; symmetry = No. 221; size of the total moment = 3.52 μB/f.u.
1.0
5.408 0.000 0.000
0.000 5.408 0.000
0.000 0.000 5.408
Sc Fe Sb
1 1 3
Direct
0.000 0.000 0.000
0.500 0.500 0.500
0.000 0.000 0.500
0.000 0.500 0.000
0.500 0.000 0.000

=====

Result of the stability comparison: entry two is the least stable of them.

=====

Entry one
GGA-PBE Sc6Fe2Sb, relaxed; symmetry = No. 71; size of the total moment = 0.00 μB/f.u.
1.0
-4.400 4.475 4.660
4.400 -4.475 4.660
4.400 4.475 -4.660
Sc Fe Sb
12 4 2
Direct
0.012 0.813 0.199
0.236 0.515 0.278
0.236 0.958 0.722
0.283 0.311 0.594
0.283 0.689 0.972
0.386 0.187 0.199
0.614 0.813 0.801
0.717 0.311 0.028
0.717 0.689 0.406
0.764 0.042 0.278
0.764 0.485 0.722
0.988 0.187 0.801
0.000 0.125 0.125
0.000 0.875 0.875
0.386 0.386 0.000
0.614 0.614 0.000
0.000 0.500 0.500
0.500 0.000 0.500

=====

Entry two
GGA-PBE Sc6Fe2Sb, relaxed; symmetry = No. 189; size of the total moment = 2.51 μB/f.u.
1.0
7.486 0.000 0.000
-3.743 6.483 0.000
0.000 0.000 3.885
Sc Fe Sb
6 2 1
Direct
0.000 0.403 0.000
0.000 0.713 0.500
0.287 0.287 0.500
0.403 0.000 0.000
0.597 0.597 0.000
0.713 0.000 0.500
0.333 0.667 0.500
0.667 0.333 0.500
0.000 0.000 0.000

=====

Result of the stability comparison: entry two is the least stable of them.

=====

Entry one
GGA-PBE ScFe3Sb, relaxed; symmetry = No. 221; size of the total moment = 6.55 μB/f.u.
1.0
4.521 0.000 0.000
0.000 4.521 0.000
0.000 0.000 4.521
Sc Fe Sb
1 3 1
Direct
0.000 0.000 0.000
0.000 0.000 0.500
0.000 0.500 0.000
0.500 0.000 0.000
0.500 0.500 0.500

=====

Entry two
GGA-PBE ScFe3Sb, relaxed; symmetry = No. 221; size of the total moment = 6.22 μB/f.u.
1.0
4.699 0.000 0.000
0.000 4.699 0.000
0.000 0.000 4.699
Sc Fe Sb
1 3 1
Direct
0.000 0.000 0.000
0.000 0.500 0.500
0.500 0.000 0.500
0.500 0.500 0.000
0.500 0.500 0.500

=====

Result of the stability comparison: entry one is the least stable of them.

=====

Entry one
GGA-PBE ScFeSb2Te, relaxed; symmetry = No. 123; size of the total moment = 1.09 μB/f.u.
1.0
4.769 0.000 0.000
0.000 4.769 0.000
0.000 0.000 5.641
Sc Fe Sb Te
1 1 2 1
Direct
0.000 0.000 0.000
0.500 0.500 0.500
0.000 0.500 0.500
0.500 0.000 0.500
0.500 0.500 0.000

=====

Entry two
GGA-PBE ScFeSb2Te, relaxed; symmetry = No. 123; size of the total moment = 3.29 μB/f.u.
1.0
5.446 0.000 0.000
0.000 5.446 0.000
0.000 0.000 5.453
Sc Fe Sb Te
1 1 2 1
Direct
0.000 0.000 0.000
0.500 0.500 0.500
0.000 0.500 0.000
0.500 0.000 0.000
0.000 0.000 0.500

=====

Result of the stability comparison: entry two is the least stable of them.

=====

Entry one
GGA-PBE Fe3SbSe, relaxed; symmetry = No. 221; size of the total moment = 9.95 μB/f.u.
1.0
4.881 0.000 0.000
0.000 4.881 0.000
0.000 0.000 4.881
Fe Sb Se
3 1 1
Direct
0.000 0.000 0.500
0.000 0.500 0.000
0.500 0.000 0.000
0.000 0.000 0.000
0.500 0.500 0.500

=====

Entry two
GGA-PBE Fe3SbSe, relaxed; symmetry = No. 221; size of the total moment = 6.53 μB/f.u.
1.0
4.457 0.000 0.000
0.000 4.457 0.000
0.000 0.000 4.457
Fe Sb Se
3 1 1
Direct
0.000 0.000 0.500
0.000 0.500 0.000
0.500 0.000 0.000
0.500 0.500 0.500
0.000 0.000 0.000

=====

Result of the stability comparison: entry one is the least stable of them.

=====

Entry one
GGA-PBE FeSiSb3, relaxed; symmetry = No. 221; size of the total moment = 0.14 μB/f.u.
1.0
5.104 0.000 0.000
0.000 5.104 0.000
0.000 0.000 5.104
Fe Si Sb
1 1 3
Direct
0.000 0.000 0.000
0.500 0.500 0.500
0.000 0.500 0.500
0.500 0.000 0.500
0.500 0.500 0.000

=====

Entry two
GGA-PBE FeSiSb3, relaxed; symmetry = No. 221; size of the total moment = 0.00 μB/f.u.
1.0
4.896 0.000 0.000
0.000 4.896 0.000
0.000 0.000 4.896
Fe Si Sb
1 1 3
Direct
0.000 0.000 0.000
0.500 0.500 0.500
0.000 0.000 0.500
0.000 0.500 0.000
0.500 0.000 0.000

=====

Result of the stability comparison: entry one is the least stable of them.

=====

Entry one
GGA-PBE FeSiSb2Te, relaxed; symmetry = No. 123; size of the total moment = 0.00 μB/f.u.
1.0
4.749 0.000 0.000
0.000 4.749 0.000
0.000 0.000 5.515
Fe Si Sb Te
1 1 2 1
Direct
0.000 0.000 0.000
0.500 0.500 0.500
0.000 0.500 0.000
0.500 0.000 0.000
0.000 0.000 0.500

=====

Entry two
GGA-PBE FeSiSb2Te, relaxed; symmetry = No. 123; size of the total moment = 3.02 μB/f.u.
1.0
5.186 0.000 0.000
0.000 5.186 0.000
0.000 0.000 5.174
Fe Si Sb Te
1 1 2 1
Direct
0.000 0.000 0.000
0.500 0.500 0.500
0.000 0.500 0.500
0.500 0.000 0.500
0.500 0.500 0.000

=====

Result of the stability comparison: entry two is the least stable of them.